Record 1
10
Lattice="2.732 -6.487 0.000 2.732 6.487 0.000 0.000 0.000 7.307" Properties=species:S:1:pos:R:3 comment="CsPtRhS2, optimized geometry, DFT PBE" e_form_raw_ev_per_atom=-0.579 magnetic_moment_mub_per_fu=0.00 pbc="T T T"
Cs 2.732 3.244 5.543
Cs 2.732 -3.244 1.764
Pt 0.000 0.000 0.000
Pt 2.732 0.000 0.000
Rh 1.366 0.000 3.654
Rh 4.098 0.000 3.654
S 2.732 5.493 2.052
S 2.732 0.994 2.052
S 2.732 -0.994 5.255
S 2.732 -5.493 5.255



Record 2
5
Lattice="4.964 0.000 0.000 0.000 4.964 0.000 0.000 0.000 5.697" Properties=species:S:1:pos:R:3 comment="CsSc2PtRh, optimized geometry, DFT PBE" magnetic_moment_mub_per_fu=0.00 energy_ev_per_atom=-4.992 pbc="T T T"
Cs 0.000 0.000 0.000
Sc 0.000 2.482 2.849
Sc 2.482 0.000 2.849
Pt 2.482 2.482 0.000
Rh 0.000 0.000 2.849



Record 3
16
Lattice="0.000 7.336 12.326 2.979 0.000 12.326 2.979 7.336 0.000" Properties=species:S:1:pos:R:3 comment="Cs2PtRhSe4, optimized geometry, DFT PBE" e_form_raw_ev_per_atom=-0.574 magnetic_moment_mub_per_fu=0.00 pbc="T T T"
Cs 2.234 5.502 1.432
Cs 3.724 9.170 7.595
Cs 2.234 5.502 17.056
Cs 3.724 9.170 23.219
Pt 2.234 5.502 9.244
Pt 3.724 9.170 15.407
Rh 0.745 1.834 3.081
Rh 5.214 12.837 21.570
Se 2.196 3.187 4.457
Se 3.763 6.855 10.620
Se 2.273 7.817 4.457
Se 2.273 3.187 14.031
Se 3.685 11.484 10.620
Se 3.685 6.855 20.194
Se 2.196 7.817 14.031
Se 3.763 11.484 20.194



Record 4
8
Lattice="-2.408 2.408 9.232 2.408 -2.408 9.232 2.408 2.408 -9.232" Properties=species:S:1:pos:R:3 comment="CsRu2Pt, optimized geometry, DFT PBE" magnetic_moment_mub_per_fu=0.00 energy_ev_per_atom=-5.177 pbc="T T T"
Cs 0.000 0.000 0.000
Cs 0.000 2.408 4.616
Ru 1.204 2.227 -2.308
Ru 2.588 1.204 2.308
Ru 1.204 0.180 6.924
Ru -0.180 1.204 11.540
Pt 2.408 0.000 4.616
Pt 0.000 0.000 9.232



Record 5
5
Lattice="5.702 0.000 0.000 0.000 5.702 0.000 0.000 0.000 5.702" Properties=species:S:1:pos:R:3 comment="Cs3RuPt, optimized geometry, DFT PBE" magnetic_moment_mub_per_fu=0.00 energy_ev_per_atom=-2.588 pbc="T T T"
Cs 0.000 0.000 2.851
Cs 0.000 2.851 0.000
Cs 2.851 0.000 0.000
Ru 0.000 0.000 0.000
Pt 2.851 2.851 2.851



Record 6
5
Lattice="6.761 0.000 0.000 0.000 6.761 0.000 0.000 0.000 4.745" Properties=species:S:1:pos:R:3 comment="Cs2RuPtS, optimized geometry, DFT PBE" e_form_raw_ev_per_atom=0.670 magnetic_moment_mub_per_fu=2.73 pbc="T T T"
Cs 0.000 3.380 0.000
Cs 3.380 0.000 0.000
Ru 0.000 0.000 2.373
Pt 0.000 0.000 0.000
S 3.380 3.380 2.373



| no. | volume (Å³ per cell) |
| --- | --- |
| 1 | 259.0 |
| 2 | 140.4 |
| 3 | 538.7 |
| 4 | 214.1 |
| 5 | 185.3 |
| 6 | 216.9 |